A relaxed TlCu2F crystal, computed with PBE-GGA.

Values from the calculation:
Formation energy (no corrections), meV/atom: -90
Excess energy over the best structure of this formula in the dataset, meV/atom: 198
Density of states at the Fermi level, states/eV/cell: 5.2

Lattice parameters (Å, degrees): 6.297 6.297 6.297 90.00 90.00 90.00
Space group Fm-3m (No. 225)
Unique sites:
Tl  0.000  0.000  0.000
Cu  0.250  0.250  0.250
F  0.000  0.000  0.500

---

A relaxed La3TePdBr crystal, computed with PBE-GGA.

Values from the calculation:
Formation energy (no corrections), meV/atom: -1171
Density of states at the Fermi level, states/eV/cell: 9.6

Lattice parameters (Å, degrees): 7.684 4.122 12.109 90.00 102.22 90.00
Space group P2_1/m (No. 11)
Unique sites:
La  0.044  0.250  0.140
La  0.288  0.250  0.499
La  0.452  0.750  0.848
Te  0.346  0.750  0.305
Pd  0.237  0.250  0.949
Br  0.114  0.750  0.637

---

A relaxed Cs3KAg crystal, computed with PBE-GGA.

Values from the calculation:
Excess energy over the best structure of this formula in the dataset, meV/atom: 11
Density of states at the Fermi level, states/eV/cell: 5.7
ΔE_f, eV/atom: 0.0421

Lattice parameters (Å, degrees): 7.473 7.473 7.473 90.00 90.00 90.00
Space group Pm-3m (No. 221)
Unique sites:
Cs  0.000  0.000  0.500
K  0.500  0.500  0.500
Ag  0.000  0.000  0.000

---

A relaxed PmTh2Sc4 crystal, computed with PBE-GGA.

Values from the calculation:
Excess energy over the best structure of this formula in the dataset, meV/atom: 79
Density of states at the Fermi level, states/eV/cell: 23.8
ΔE_f, eV/atom: 0.2474

Lattice parameters (Å, degrees): 7.957 7.957 6.574 90.00 90.00 90.00
Space group I4/mmm (No. 139)
Unique sites:
Pm  0.000  0.000  0.000
Th  0.000  0.500  0.250
Sc  0.198  0.198  0.500

---

A relaxed K2YCr crystal, computed with PBE-GGA.

Values from the calculation:
Excess energy over the best structure of this formula in the dataset, meV/atom: 324
Density of states at the Fermi level, states/eV/cell: 12.6
ΔE_f, eV/atom: 0.8945

Lattice parameters (Å, degrees): 3.6150 3.6150 39.4328 90.00 90.00 120.00
Space group R-3m (No. 166, hexagonal axes)
Unique sites:
K  0.0000  0.0000  0.2425
Y  0.0000  0.0000  0.0000
Cr  0.0000  0.0000  0.5000

---

A relaxed TiPdF2 crystal, computed with PBE-GGA.

Values from the calculation:
Formation energy (no corrections), meV/atom: -1049
Excess energy over the best structure of this formula in the dataset, meV/atom: 690
Density of states at the Fermi level, states/eV/cell: 6.9

Lattice parameters (Å, degrees): 5.832 5.832 5.832 90.00 90.00 90.00
Space group Fm-3m (No. 225)
Unique sites:
Ti  0.000  0.000  0.000
Pd  0.000  0.000  0.500
F  0.250  0.250  0.250

---

A relaxed KIO2F crystal, computed with PBE-GGA.

Values from the calculation:
Formation energy (no corrections), meV/atom: 568
Density of states at the Fermi level, states/eV/cell: 8.4

Lattice parameters (Å, degrees): 4.914 4.914 7.188 90.00 90.00 90.00
Space group P4/mmm (No. 123)
Unique sites:
K  0.000  0.000  0.000
I  0.000  0.000  0.500
O  0.000  0.500  0.000
F  0.500  0.500  0.500

---

A relaxed LaErLu crystal, computed with PBE-GGA.

Values from the calculation:
Excess energy over the best structure of this formula in the dataset, meV/atom: 47
Density of states at the Fermi level, states/eV/cell: 5.5
ΔE_f, eV/atom: 0.0866

Lattice parameters (Å, degrees): 5.6498 5.6498 3.4720 90.00 90.00 120.00
Space group P3m1 (No. 156)
Unique sites:
La  0.0000  0.0000  0.0000
Er  0.3333  0.6667  0.9977
Lu  0.6667  0.3333  0.4993